Record 1
A relaxed structure of Sr2SbAuI, computed with PBE-GGA.

VASP energy (eV per atom): -2.4263
M_tot (μB/f.u.): 0.00
Space group: P4/mmm (123)
Density of states at the Fermi level (states/eV per cell): 2.07

Structure (POSCAR):
```
Sr2SbAuI
1.0
6.219 0.000 0.000
0.000 6.219 0.000
0.000 0.000 5.720
Sr Sb Au I
2 1 1 1
Cartesian
0.000 3.110 0.000
3.110 0.000 0.000
0.000 0.000 2.860
3.110 3.110 2.860
0.000 0.000 0.000
```



Record 2
A relaxed structure of Y2ZrH, computed with PBE-GGA.

VASP energy (eV per atom): -5.4384
M_tot (μB/f.u.): 2.01
Space group: Fm-3m (225)
Density of states at the Fermi level (states/eV per cell): 5.18

Structure (POSCAR):
```
Y2ZrH
1.0
0.000 3.647 3.647
3.647 0.000 3.647
3.647 3.647 0.000
Y Zr H
2 1 1
Cartesian
1.823 1.823 1.823
5.470 5.470 5.470
0.000 0.000 0.000
3.647 3.647 3.647
```